No. 1
# Tb3Sm2ThTe6

A relaxed Tb3Sm2ThTe6 crystal (PBE-GGA, the Alexandria database).

As for the crystal system: monoclinic. The value obtained for the final energy is -5.411 eV per atom. As for the density of states at the Fermi level: 0.67 states/eV per atom. The calculation puts the uncorrected formation energy at -1.278 eV per atom.

The space group is C2/m (No. 12) and the conventional cell measures 19.292, 4.384 and 8.890 Å, with angles of 90.00, 103.91 and 90.00 degrees. The inequivalent atoms are Tb at (0.000, 0.000, 0.000), Tb at (0.165, 0.500, 0.333), Sm at (0.163, 0.500, 0.826), Th at (0.000, 0.000, 0.500), Te at (0.002, 0.500, 0.243), Te at (0.167, 0.000, 0.086) and Te at (0.170, 0.000, 0.579).


No. 2
# Tm2ThCr2C4

A relaxed Tm2ThCr2C4 crystal (PBE-GGA, the Alexandria database).

As for the crystal system: monoclinic. The value obtained for the final energy is -8.183 eV per atom. As for the density of states at the Fermi level: 0.71 states/eV per atom. Its formation energy is -0.13 eV/atom.

The space group is C2/m (No. 12) and the conventional cell measures 13.201, 3.305 and 5.920 Å, with angles of 90.00, 111.86 and 90.00 degrees. The inequivalent atoms are Tm at (0.147, 0.000, 0.045), Th at (0.000, 0.000, 0.500), Cr at (0.177, 0.500, 0.476), C at (0.016, 0.500, 0.133) and C at (0.221, 0.000, 0.706).


No. 3
# HfTiReN2

A relaxed HfTiReN2 crystal (PBE-GGA, the Alexandria database).

As for the crystal system: tetragonal. The value obtained for the final energy is -7.906 eV per atom. As for the density of states at the Fermi level: 0.91 states/eV per atom. The calculation puts the uncorrected formation energy at 1.483 eV per atom.

The space group is P4/mmm (No. 123) and the conventional cell measures 4.026, 4.026 and 5.614 Å, with angles of 90.00, 90.00 and 90.00 degrees. The inequivalent atoms are Hf at (0.000, 0.000, 0.000), Ti at (0.000, 0.000, 0.500), Re at (0.500, 0.500, 0.500) and N at (0.000, 0.500, 0.000).


No. 4
# LaMnN3

A relaxed LaMnN3 crystal (PBE-GGA, the Alexandria database).

As for the crystal system: monoclinic. The value obtained for the final energy is -8.321 eV per atom. As for the density of states at the Fermi level: 0.36 states/eV per atom. The calculation puts the uncorrected formation energy at -0.507 eV per atom.

The space group is Cm (No. 8) and the conventional cell measures 5.910, 4.214 and 5.256 Å, with angles of 90.00, 91.68 and 90.00 degrees. The inequivalent atoms are La at (0.000, 0.000, 0.000), Mn at (0.119, 0.500, 0.482), N at (0.112, 0.500, 0.818) and N at (0.310, 0.163, 0.370).


No. 5
# Ca3Sm5

A relaxed Ca3Sm5 crystal (PBE-GGA, the Alexandria database).

As for the crystal system: orthorhombic. The value obtained for the final energy is -3.598 eV per atom. As for the density of states at the Fermi level: 1.69 states/eV per atom. Its formation energy is 0.10 eV/atom.

The space group is Cmmm (No. 65) and the conventional cell measures 3.847, 6.115 and 24.727 Å, with angles of 90.00, 90.00 and 90.00 degrees. The inequivalent atoms are Ca at (0.000, 0.000, 0.000), Ca at (0.000, 0.500, 0.133), Sm at (0.000, 0.000, 0.262), Sm at (0.000, 0.000, 0.500) and Sm at (0.000, 0.500, 0.379).


No. 6
# AcHgO2

A relaxed AcHgO2 crystal (PBE-GGA, the Alexandria database).

As for the crystal system: monoclinic. The value obtained for the final energy is -5.641 eV per atom. As for the density of states at the Fermi level: 0.03 states/eV per atom. Its energy relative to the lowest polymorph listed for this composition is 0.00 eV per formula unit. The calculation puts the uncorrected formation energy at -2.060 eV per atom.

The space group is P2_1/m (No. 11) and the conventional cell measures 6.828, 3.972 and 7.052 Å, with angles of 90.00, 109.58 and 90.00 degrees. The inequivalent atoms are Ac at (0.001, 0.250, 0.253), Hg at (0.499, 0.250, 0.849), O at (0.164, 0.750, 0.148) and O at (0.169, 0.250, 0.624).


No. 7
# SrLa2Hg

A relaxed SrLa2Hg crystal (PBE-GGA, the Alexandria database).

As for the crystal system: tetragonal. The value obtained for the final energy is -3.012 eV per atom. As for the density of states at the Fermi level: 1.20 states/eV per atom. Its formation energy is -0.05 eV/atom.

The space group is I-4m2 (No. 119) and the conventional cell measures 5.024, 5.024 and 10.693 Å, with angles of 90.00, 90.00 and 90.00 degrees. The inequivalent atoms are Sr at (0.000, 0.000, 0.000), La at (0.000, 0.000, 0.500), La at (0.000, 0.500, 0.250) and Hg at (0.000, 0.500, 0.750).


No. 8
# BaPd2Pt

A relaxed BaPd2Pt crystal (PBE-GGA, the Alexandria database).

As for the crystal system: tetragonal. The value obtained for the final energy is -4.828 eV per atom. As for the density of states at the Fermi level: 0.85 states/eV per atom. Its energy relative to the lowest polymorph listed for this composition is 0.97 eV per formula unit. Its formation energy is -0.24 eV/atom.

The space group is I-42d (No. 122) and the conventional cell measures 4.910, 4.910 and 18.219 Å, with angles of 90.00, 90.00 and 90.00 degrees. The inequivalent atoms are Ba at (0.000, 0.000, 0.000), Pd at (0.061, 0.250, 0.625) and Pt at (0.000, 0.000, 0.500).


No. 9
# Tb2TmAl

A relaxed Tb2TmAl crystal (PBE-GGA, the Alexandria database).

As for the crystal system: tetragonal. The value obtained for the final energy is -4.542 eV per atom. As for the density of states at the Fermi level: 1.10 states/eV per atom. Its energy relative to the lowest polymorph listed for this composition is 0.10 eV per formula unit. Its formation energy is -0.17 eV/atom.

The space group is P4/mmm (No. 123) and the conventional cell measures 3.498, 3.498 and 9.051 Å, with angles of 90.00, 90.00 and 90.00 degrees. The inequivalent atoms are Tb at (0.000, 0.000, 0.216), Tm at (0.500, 0.500, 0.500) and Al at (0.500, 0.500, 0.000).


No. 10
# Nd3CuPt2

A relaxed Nd3CuPt2 crystal (PBE-GGA, the Alexandria database).

As for the crystal system: orthorhombic. The value obtained for the final energy is -5.896 eV per atom. As for the density of states at the Fermi level: 0.75 states/eV per atom. Its formation energy is -0.82 eV/atom.

The space group is Pnma (No. 62) and the conventional cell measures 11.957, 4.091 and 12.130 Å, with angles of 90.00, 90.00 and 90.00 degrees. The inequivalent atoms are Nd at (0.052, 0.250, 0.127), Nd at (0.128, 0.750, 0.564), Nd at (0.212, 0.250, 0.813), Cu at (0.121, 0.250, 0.377), Pt at (0.006, 0.750, 0.308) and Pt at (0.183, 0.750, 0.991).


- final energy of number 10 (Nd3CuPt2)?
  -5.896 eV per atom


- Among the records above, which one has the highest final energy?
  SrLa2Hg